Computed, not measured: an optimized crystal structure of Sc2CoAsOs at the PBE-GGA level of DFT.

The space group is P4/mmm (No. 123) and the conventional cell measures 4.975, 4.975 and 4.438 Å, with angles of 90.00, 90.00 and 90.00 degrees. The distinct sites, in fractional coordinates, are Sc at (0.000, 0.500, 0.000), Co at (0.000, 0.000, 0.500), As at (0.500, 0.500, 0.000) and Os at (0.500, 0.500, 0.500).

For the energy of formation, the calculation gives 0.54 eV/atom.

=====

Computed, not measured: an optimized crystal structure of AcGaPd3 at the PBE-GGA level of DFT.

The space group is Pm-3m (No. 221) and the conventional cell measures 4.800, 4.800 and 4.800 Å, with angles of 90.00, 90.00 and 90.00 degrees. The distinct sites, in fractional coordinates, are Ac at (0.000, 0.000, 0.000), Ga at (0.500, 0.500, 0.500) and Pd at (0.000, 0.500, 0.500).

For the energy of formation, the calculation gives -0.56 eV/atom.

=====

Computed, not measured: an optimized crystal structure of NdSm3Ho6Tm2 at the PBE-GGA level of DFT.

The space group is C2/m (No. 12) and the conventional cell measures 6.162, 10.665 and 11.773 Å, with angles of 90.00, 100.01 and 90.00 degrees. The distinct sites, in fractional coordinates, are Nd at (0.000, 0.000, 0.000), Sm at (0.000, 0.167, 0.500), Sm at (0.000, 0.500, 0.500), Ho at (0.249, 0.500, 0.248), Ho at (0.250, 0.167, 0.248) and Tm at (0.000, 0.333, 0.000).

For the energy of formation, the calculation gives 0.02 eV/atom.

=====

Computed, not measured: an optimized crystal structure of SmGdErHg at the PBE-GGA level of DFT.

The space group is F-43m (No. 216) and the conventional cell measures 7.701, 7.701 and 7.701 Å, with angles of 90.00, 90.00 and 90.00 degrees. The distinct sites, in fractional coordinates, are Sm at (0.000, 0.000, 0.000), Gd at (0.000, 0.000, 0.500), Er at (0.250, 0.250, 0.750) and Hg at (0.250, 0.250, 0.250).

For the energy of formation, the calculation gives -0.08 eV/atom.

=====

Computed, not measured: an optimized crystal structure of Nd5YSe8 at the PBE-GGA level of DFT.

The space group is I-4 (No. 82) and the conventional cell measures 9.043, 9.043 and 8.753 Å, with angles of 90.00, 90.00 and 90.00 degrees. The distinct sites, in fractional coordinates, are Nd at (0.000, 0.000, 0.000), Nd at (0.148, 0.747, 0.376), Y at (0.000, 0.500, 0.750), Se at (0.066, 0.820, 0.698) and Se at (0.071, 0.673, 0.053).

The formation energy without anion corrections is -1.84 eV/atom.

=====

Computed, not measured: an optimized crystal structure of Mg9BiPb2 at the PBE-GGA level of DFT.

The space group is P4/mmm (No. 123) and the conventional cell measures 4.547, 4.547 and 13.975 Å, with angles of 90.00, 90.00 and 90.00 degrees. The distinct sites, in fractional coordinates, are Mg at (0.000, 0.000, 0.000), Mg at (0.000, 0.000, 0.336), Mg at (0.000, 0.500, 0.171), Mg at (0.000, 0.500, 0.500), Bi at (0.500, 0.500, 0.000) and Pb at (0.500, 0.500, 0.335).

For the energy of formation, the calculation gives -0.06 eV/atom.

=====

Computed, not measured: an optimized crystal structure of BeIr2Os at the PBE-GGA level of DFT.

The space group is P2/m (No. 10) and the conventional cell measures 2.729, 3.930 and 5.077 Å, with angles of 90.00, 103.63 and 90.00 degrees. The distinct sites, in fractional coordinates, are Be at (0.000, 0.000, 0.000), Ir at (0.371, 0.500, 0.235) and Os at (0.000, 0.000, 0.500).

For the energy of formation, the calculation gives -0.06 eV/atom.

=====

Computed, not measured: an optimized crystal structure of La2Tm3 at the PBE-GGA level of DFT.

The space group is R-3c (No. 167, hexagonal axes) and the conventional cell measures 9.9233, 9.9233 and 11.4925 Å, with angles of 90.00, 90.00 and 120.00 degrees. The distinct sites, in fractional coordinates, are La at (0.0000, 0.0000, 0.0000), La at (0.0000, 0.0000, 0.2500) and Tm at (0.0000, 0.3249, 0.2500).

For the energy of formation, the calculation gives 0.31 eV/atom.

=====

Computed, not measured: an optimized crystal structure of Hg3W at the PBE-GGA level of DFT.

The space group is R-3m (No. 166, hexagonal axes) and the conventional cell measures 3.0559, 3.0559 and 30.3780 Å, with angles of 90.00, 90.00 and 120.00 degrees. The distinct sites, in fractional coordinates, are Hg at (0.0000, 0.0000, 0.0000), Hg at (0.0000, 0.0000, 0.2444) and W at (0.0000, 0.0000, 0.5000).

For the energy of formation, the calculation gives 0.63 eV/atom.

=====

Computed, not measured: an optimized crystal structure of Pu3Co at the PBE-GGA level of DFT.

The space group is I4/mmm (No. 139) and the conventional cell measures 3.714, 3.714 and 10.790 Å, with angles of 90.00, 90.00 and 90.00 degrees. The distinct sites, in fractional coordinates, are Pu at (0.000, 0.000, 0.000), Pu at (0.000, 0.000, 0.236) and Co at (0.000, 0.000, 0.500).

For the energy of formation, the calculation gives 0.51 eV/atom.

=====

Computed, not measured: an optimized crystal structure of Rb2Pu3CdO12 at the PBE-GGA level of DFT.

The space group is R-3m (No. 166, hexagonal axes) and the conventional cell measures 7.9635, 7.9635 and 18.2374 Å, with angles of 90.00, 90.00 and 120.00 degrees. The distinct sites, in fractional coordinates, are Rb at (0.0000, 0.0000, 0.1224), Pu at (0.0000, 0.5000, 0.0000), Cd at (0.0000, 0.0000, 0.5000), O at (0.0468, 0.5234, 0.1020) and O at (0.0773, 0.5387, 0.3481).

The formation energy without anion corrections is -2.20 eV/atom.

=====

Computed, not measured: an optimized crystal structure of Zn5Pt at the PBE-GGA level of DFT.

The space group is F-43m (No. 216) and the conventional cell measures 7.027, 7.027 and 7.027 Å, with angles of 90.00, 90.00 and 90.00 degrees. The distinct sites, in fractional coordinates, are Zn at (0.000, 0.000, 0.000), Zn at (0.125, 0.125, 0.625) and Pt at (0.250, 0.250, 0.250).

For the energy of formation, the calculation gives -0.14 eV/atom.

=====

Which formula does entry 7 have?
BeIr2Os